CaTlOs after structural relaxation. Source: Alexandria via LeMat-Bulk, functional PBE.

Lattice parameters (Å, degrees): 4.7288 4.7288 4.7288 60.00 60.00 60.00
Last column: nearest neighbours and their distance in Å.
Atoms (fractional coordinates):
Tl: 0.0000 0.0000 0.0000  4 Os 2.90
Os: 0.2500 0.2500 0.2500  4 Ca 2.90, 4 Tl 2.90
Ca: 0.5000 0.5000 0.5000  4 Os 2.90

Calculated values
* E_form: 675.7 meV/atom
* DOS at the Fermi energy: 1.362 states/eV per atom
* SG: F-43m, No. 216
* crystal system: cubic